{"formula": "Li2TeP2", "functional": "PBE", "state": "optimized geometry", "lattice": [[-2.1448, 2.1448, 4.8922], [2.1448, -2.1448, 4.8922], [2.1448, 2.1448, -4.8922]], "species": ["Li", "Li", "Te", "P", "P"], "fractional_positions": [[0.2500, 0.7500, 0.5000], [0.7500, 0.2500, 0.5000], [0.0000, 0.0000, 0.0000], [0.3908, 0.3908, 0.0000], [0.6092, 0.6092, 0.0000]], "magnetic_moment_mub_per_fu": 0.00, "total_energy_ev_per_atom": -3.71, "crystal_system": "tetragonal", "e_form_raw_ev_per_atom": -0.151, "de_polymorph_ev_per_atom": 0.000}


{"formula": "LiTeP2", "functional": "PBE", "state": "optimized geometry", "lattice": [[-2.9140, 2.9140, 5.9694], [2.9140, -2.9140, 5.9694], [2.9140, 2.9140, -5.9694]], "species": ["Li", "Li", "Te", "Te", "P", "P", "P", "P"], "fractional_positions": [[0.0000, 0.0000, 0.0000], [0.7500, 0.2500, 0.5000], [0.2500, 0.7500, 0.5000], [0.5000, 0.5000, 0.0000], [0.1067, 0.6250, 0.9817], [0.3750, 0.3567, 0.4817], [0.6433, 0.1250, 0.0183], [0.8750, 0.8933, 0.5183]], "magnetic_moment_mub_per_fu": 0.00, "total_energy_ev_per_atom": -3.69, "crystal_system": "tetragonal", "e_form_raw_ev_per_atom": 0.274}


{"formula": "LiTe2P", "functional": "PBE", "state": "optimized geometry", "lattice": [[-1.9221, 2.1222, 5.8658], [1.9221, -2.1222, 5.8658], [1.9221, 2.1222, -5.8658]], "species": ["Li", "Te", "Te", "P"], "fractional_positions": [[0.0000, 0.0000, 0.0000], [0.4336, 0.4336, 0.0000], [0.6764, 0.1764, 0.5000], [0.2638, 0.7638, 0.5000]], "magnetic_moment_mub_per_fu": 0.00, "total_energy_ev_per_atom": -3.43, "crystal_system": "orthorhombic", "e_form_raw_ev_per_atom": -0.028}


{"formula": "LiTeP2", "functional": "PBE", "state": "optimized geometry", "lattice": [[3.7216, 0.0000, 0.0000], [-1.8608, 3.2230, 0.0000], [0.0000, 0.0000, 6.7250]], "species": ["Li", "Te", "P", "P"], "fractional_positions": [[0.0000, 0.0000, 0.0000], [0.0000, 0.0000, 0.5000], [0.3333, 0.6667, 0.2494], [0.6667, 0.3333, 0.7506]], "magnetic_moment_mub_per_fu": 0.00, "total_energy_ev_per_atom": -3.84, "crystal_system": "trigonal", "e_form_raw_ev_per_atom": 0.131}


{"formula": "Li2TeP", "functional": "PBE", "state": "optimized geometry", "lattice": [[4.2179, -1.8574, 0.0000], [4.2179, 1.8574, 0.0000], [-1.2707, 0.0000, 4.6577]], "species": ["Li", "Li", "Te", "P"], "fractional_positions": [[0.2366, 0.2366, 0.2021], [0.7634, 0.7634, 0.7979], [0.0000, 0.0000, 0.5000], [0.5000, 0.5000, 0.0000]], "magnetic_moment_mub_per_fu": 0.00, "total_energy_ev_per_atom": -3.51, "crystal_system": "monoclinic", "e_form_raw_ev_per_atom": -0.418, "de_polymorph_ev_per_atom": 0.000}


{"formula": "LiTe4P", "functional": "PBE", "state": "optimized geometry", "lattice": [[0.0000, 4.4499, 4.4499], [4.4499, 0.0000, 4.4499], [4.4499, 4.4499, 0.0000]], "species": ["Li", "Te", "Te", "Te", "Te", "P"], "fractional_positions": [[0.0000, 0.0000, 0.0000], [0.3763, 0.3763, 0.3763], [0.3763, 0.3763, 0.8711], [0.3763, 0.8711, 0.3763], [0.8711, 0.3763, 0.3763], [0.7500, 0.7500, 0.7500]], "magnetic_moment_mub_per_fu": 0.00, "total_energy_ev_per_atom": -2.78, "crystal_system": "cubic", "e_form_raw_ev_per_atom": 0.536}


{"formula": "Li4TeP", "functional": "PBE", "state": "optimized geometry", "lattice": [[0.0000, 3.6897, 3.6897], [3.6897, 0.0000, 3.6897], [3.6897, 3.6897, 0.0000]], "species": ["Li", "Li", "Li", "Li", "Te", "P"], "fractional_positions": [[0.1242, 0.1242, 0.1242], [0.1242, 0.1242, 0.6274], [0.1242, 0.6274, 0.1242], [0.6274, 0.1242, 0.1242], [0.5000, 0.5000, 0.5000], [0.7500, 0.7500, 0.7500]], "magnetic_moment_mub_per_fu": 0.00, "total_energy_ev_per_atom": -2.83, "crystal_system": "cubic", "e_form_raw_ev_per_atom": -0.134, "de_polymorph_ev_per_atom": 0.655}


{"formula": "LiTeP2", "functional": "PBE", "state": "optimized geometry", "lattice": [[3.7853, 0.0000, 0.0000], [0.0000, 3.7853, 0.0000], [0.0000, 0.0000, 5.1488]], "species": ["Li", "Te", "P", "P"], "fractional_positions": [[0.0000, 0.0000, 0.0000], [0.5000, 0.5000, 0.0000], [0.0000, 0.5000, 0.5000], [0.5000, 0.0000, 0.5000]], "magnetic_moment_mub_per_fu": 0.00, "total_energy_ev_per_atom": -3.75, "crystal_system": "tetragonal", "e_form_raw_ev_per_atom": 0.224}